Record 1
First-principles (PBE) data for KYRh after structural relaxation, as listed in the Alexandria database.

abc: 4.9472 4.9472 4.9472
angles: 60.00 60.00 60.00
Atoms (fractional coordinates):
K 0.0000 0.0000 0.0000
Y 0.5000 0.5000 0.5000
Rh 0.2500 0.2500 0.2500

## Properties
* DOS(E_F): 3.26 states/eV per cell
* magnetic moment: 0.00 μB/f.u.
* energy of formation: 0.27 eV/atom
* energy: -4.704 eV per atom

Record 2
First-principles (PBE) data for KYRh2 after structural relaxation, as listed in the Alexandria database.

abc: 4.8693 4.8693 4.8693
angles: 60.00 60.00 60.00
Atoms (fractional coordinates):
K 0.0000 0.0000 0.0000
Y 0.7500 0.7500 0.7500
Rh 0.2500 0.2500 0.2500
Rh 0.5000 0.5000 0.5000

## Properties
* DOS(E_F): 5.91 states/eV per cell
* magnetic moment: 0.67 μB/f.u.
* energy of formation: 0.36 eV/atom
* energy: -5.201 eV per atom

Record 3
First-principles (PBE) data for KYRh2 after structural relaxation, as listed in the Alexandria database.

abc: 4.2247 4.4193 6.2017
angles: 90.00 109.76 90.00
Atoms (fractional coordinates):
K 0.0000 0.0000 0.0000
Y 0.2740 0.5000 0.5505
Rh 0.6280 0.5000 0.2568
Rh 0.7198 0.0000 0.4426

## Properties
* DOS(E_F): 4.82 states/eV per cell
* magnetic moment: 0.29 μB/f.u.
* energy of formation: 0.06 eV/atom
* energy: -5.504 eV per atom